Entry 1:
An optimized crystal structure of Pr2Si4Ir3Ru. Source: the Alexandria database, functional PBE.

Summary:
The total energy comes out at -7.69 eV/atom.

Lattice parameters (Å, degrees): 4.2411 4.2411 9.7668 90.00 90.00 90.00
Closest atoms and distances in Å follow each position.
Element x y z (fractional)
Pr 0.0000 0.5000 0.2471  8 Si 3.21-3.26, 6 Ir 3.23-3.26, 2 Ru 3.26
Pr 0.5000 0.0000 0.7529  8 Si 3.21-3.26, 6 Ir 3.23-3.26, 2 Ru 3.26
Si 0.0000 0.0000 0.0000  4 Ir 2.45
Si 0.0000 0.5000 0.6233  2 Ru 2.44, 3 Ir 2.44-2.46
Si 0.5000 0.0000 0.3767  2 Ru 2.44, 3 Ir 2.44-2.46
Si 0.5000 0.5000 0.0000  4 Ir 2.45
Ir 0.0000 0.5000 0.8747  5 Si 2.45-2.46
Ir 0.5000 0.0000 0.1253  5 Si 2.45-2.46
Ir 0.5000 0.5000 0.5000  4 Si 2.44
Ru 0.0000 0.0000 0.5000  4 Si 2.44

---

Entry 2:
An optimized crystal structure of Sr2MnSe. Source: the Alexandria database, functional PBE.

Summary:
The total energy comes out at -3.88 eV/atom.

Lattice parameters (Å, degrees): 5.4981 5.4981 5.4981 60.00 60.00 60.00
Closest atoms and distances in Å follow each position.
Element x y z (fractional)
Sr 0.0000 0.0000 0.0000  4 Mn 3.37, 4 Sr 3.37
Sr 0.2500 0.2500 0.2500  4 Se 3.37, 4 Sr 3.37
Mn 0.7500 0.7500 0.7500  4 Se 3.37, 4 Sr 3.37
Se 0.5000 0.5000 0.5000  4 Mn 3.37, 4 Sr 3.37

---

Entry 3:
An optimized crystal structure of CeHo5Sb5. Source: the Alexandria database, functional PBE.

Summary:
The total energy comes out at -5.39 eV/atom.

Lattice parameters (Å, degrees): 7.5027 7.5027 8.6728 106.58 106.58 48.51
Closest atoms and distances in Å follow each position.
Element x y z (fractional)
Ce 0.0000 0.0000 0.0000  6 Sb 3.08-3.13
Ho 0.0000 0.0000 0.5000  4 Sb 3.04-3.07
Ho 0.3335 0.3335 0.1675  5 Sb 3.06-3.08
Ho 0.3368 0.3368 0.6648  5 Sb 3.03-3.08
Ho 0.6632 0.6632 0.3352  5 Sb 3.03-3.08
Ho 0.6665 0.6665 0.8325  5 Sb 3.06-3.08
Sb 0.1684 0.1684 0.3392  5 Ho 3.03-3.08, 1 Ce 3.12
Sb 0.1703 0.1703 0.8288  5 Ho 3.04-3.08, 1 Ce 3.13
Sb 0.5000 0.5000 0.0000  4 Ho 3.06, 2 Ce 3.08
Sb 0.8297 0.8297 0.1712  5 Ho 3.04-3.08, 1 Ce 3.13
Sb 0.8316 0.8316 0.6608  5 Ho 3.03-3.08, 1 Ce 3.12

---

Entry 4:
An optimized crystal structure of ZrF4. Source: the Alexandria database, functional PBE.

Summary:
The total energy comes out at -6.87 eV/atom.

Lattice parameters (Å, degrees): 8.0396 8.0396 7.8501 90.00 90.00 90.00
Closest atoms and distances in Å follow each position.
Element x y z (fractional)
Zr 0.1801 0.6828 0.2301  8 F 2.06-2.24
Zr 0.1801 0.6828 0.7699  8 F 2.06-2.24
Zr 0.3172 0.1801 0.2699  8 F 2.06-2.24
Zr 0.3172 0.1801 0.7301  8 F 2.06-2.24
Zr 0.6828 0.8199 0.2699  8 F 2.06-2.24
Zr 0.6828 0.8199 0.7301  8 F 2.06-2.24
Zr 0.8199 0.3172 0.2301  8 F 2.06-2.24
Zr 0.8199 0.3172 0.7699  8 F 2.06-2.24
F 0.0000 0.5000 0.2963  2 Zr 2.13
F 0.0000 0.5000 0.7037  2 Zr 2.13
F 0.0596 0.2110 0.1949  2 Zr 2.13-2.17
F 0.0596 0.2110 0.8051  2 Zr 2.13-2.17
F 0.1655 0.5394 0.0000  2 Zr 2.15, 1 F 2.34
F 0.1727 0.2066 0.5000  2 Zr 2.16, 1 F 2.34
F 0.1935 0.6816 0.5000  2 Zr 2.12
F 0.2066 0.8273 0.0000  2 Zr 2.16, 1 F 2.34
F 0.2110 0.9404 0.3051  2 Zr 2.13-2.17
F 0.2110 0.9404 0.6949  2 Zr 2.13-2.17
F 0.2968 0.4356 0.2857  2 Zr 2.06-2.24
F 0.2968 0.4356 0.7143  2 Zr 2.06-2.24
F 0.3184 0.1935 0.0000  2 Zr 2.12
F 0.4356 0.7032 0.2143  2 Zr 2.06-2.24
F 0.4356 0.7032 0.7857  2 Zr 2.06-2.24
F 0.4606 0.1655 0.5000  2 Zr 2.15, 1 F 2.34
F 0.5000 0.0000 0.2037  2 Zr 2.13
F 0.5000 0.0000 0.7963  2 Zr 2.13
F 0.5394 0.8345 0.5000  2 Zr 2.15, 1 F 2.34
F 0.5644 0.2968 0.2143  2 Zr 2.06-2.24
F 0.5644 0.2968 0.7857  2 Zr 2.06-2.24
F 0.6816 0.8065 0.0000  2 Zr 2.12
F 0.7032 0.5644 0.2857  2 Zr 2.06-2.24
F 0.7032 0.5644 0.7143  2 Zr 2.06-2.24
F 0.7890 0.0596 0.3051  2 Zr 2.13-2.17
F 0.7890 0.0596 0.6949  2 Zr 2.13-2.17
F 0.7934 0.1727 0.0000  2 Zr 2.16, 1 F 2.34
F 0.8065 0.3184 0.5000  2 Zr 2.12
F 0.8273 0.7934 0.5000  2 Zr 2.16, 1 F 2.34
F 0.8345 0.4606 0.0000  2 Zr 2.15, 1 F 2.34
F 0.9404 0.7890 0.1949  2 Zr 2.13-2.17
F 0.9404 0.7890 0.8051  2 Zr 2.13-2.17

---

Number 1: raw formation energy -0.98 eV/atom, M_tot 0.0 μB/f.u.. Number 2: raw formation energy 0.12 eV/atom, M_tot 3.9 μB/f.u.. Number 3: raw formation energy -0.90 eV/atom, M_tot 0.8 μB/f.u.. Number 4: raw formation energy -3.66 eV/atom, M_tot 0.0 μB/f.u..